# 1
Compound: KAlZnMo2
Source: the Alexandria database
Functional: SCAN
Structure: PBEsol geometry

Summary:
- formation energy (eV/atom) = 2.81

Cell lengths 4.475, 4.475, 4.750 Å; angles 90.00, 90.00, 90.00 degrees
Sites, in units of the cell vectors:
K 0.000 0.000 0.000
Al 0.500 0.500 0.500
Zn 0.000 0.000 0.500
Mo 0.000 0.500 0.000
Mo 0.500 0.000 0.000



# 2
Compound: HgMoW2
Source: the Alexandria database
Functional: SCAN
Structure: PBEsol geometry

Summary:
- formation energy (eV/atom) = 0.47

Cell lengths 3.329, 3.329, 6.016 Å; angles 90.00, 90.00, 90.00 degrees
Sites, in units of the cell vectors:
Hg 0.000 0.000 0.000
Mo 0.500 0.500 0.278
W 0.000 0.000 0.498
W 0.500 0.500 0.718



# 3
Compound: HfPIrS2
Source: the Alexandria database
Functional: SCAN
Structure: PBEsol geometry

Summary:
- ΔE_f (raw) (eV per atom) = 0.74

Cell lengths 4.713, 4.713, 4.953 Å; angles 90.00, 90.00, 90.00 degrees
Sites, in units of the cell vectors:
Hf 0.000 0.000 0.000
P 0.000 0.000 0.500
Ir 0.500 0.500 0.500
S 0.000 0.500 0.000
S 0.500 0.000 0.000



# 4
Compound: Ta2CdCl
Source: the Alexandria database
Functional: SCAN
Structure: PBEsol geometry

Summary:
- ΔE_f (raw) (eV per atom) = 0.86

Cell lengths 3.956, 3.956, 4.798 Å; angles 90.00, 90.00, 90.00 degrees
Sites, in units of the cell vectors:
Ta 0.000 0.500 0.000
Ta 0.500 0.000 0.000
Cd 0.000 0.000 0.500
Cl 0.500 0.500 0.500



# 5
Compound: KBe2Ir
Source: the Alexandria database
Functional: SCAN
Structure: PBEsol geometry

Summary:
- formation energy (eV/atom) = 0.86
- polymorph energy (0 for the lowest one) (meV per atom) = 435.9

Cell lengths 2.796, 4.315, 4.783 Å; angles 90.00, 90.00, 90.00 degrees
Sites, in units of the cell vectors:
K 0.000 0.000 0.000
Be 0.000 0.000 0.500
Be 0.500 0.500 0.000
Ir 0.500 0.500 0.500



# 6
Compound: Li2YCo
Source: the Alexandria database
Functional: SCAN
Structure: PBEsol geometry

Summary:
- formation energy (eV/atom) = 0.42

Cell lengths 4.462, 4.462, 4.462 Å; angles 60.00, 60.00, 60.00 degrees
Sites, in units of the cell vectors:
Li 0.250 0.250 0.250
Li 0.750 0.750 0.750
Y 0.000 0.000 0.000
Co 0.500 0.500 0.500



# 7
Compound: AlAs4Rh
Source: the Alexandria database
Functional: SCAN
Structure: PBEsol geometry

Summary:
- formation energy (eV/atom) = 0.61

Cell lengths 5.361, 5.361, 5.361 Å; angles 60.00, 60.00, 60.00 degrees
Sites, in units of the cell vectors:
Al 0.000 0.000 0.000
As 0.122 0.626 0.626
As 0.626 0.122 0.626
As 0.626 0.626 0.122
As 0.626 0.626 0.626
Rh 0.250 0.250 0.250



# 8
Compound: InPSe2
Source: the Alexandria database
Functional: SCAN
Structure: PBEsol geometry

Summary:
- ΔE_f (raw) (eV per atom) = 0.26
- polymorph energy (0 for the lowest one) (meV per atom) = 241.7

Cell lengths 3.703, 3.703, 8.222 Å; angles 90.00, 90.00, 123.47 degrees
Sites, in units of the cell vectors:
In 0.000 0.000 0.000
P 0.500 0.500 0.261
Se 0.000 0.000 0.451
Se 0.500 0.500 0.768



Number 1: total magnetic moment 0.00 μB per cell. Number 2: total magnetic moment 0.00 μB per cell. Number 3: total magnetic moment 3.16 μB per cell. Number 4: total magnetic moment 0.00 μB per cell. Number 5: total magnetic moment 0.26 μB per cell. Number 6: total magnetic moment 0.00 μB per cell. Number 7: total magnetic moment 0.00 μB per cell. Number 8: total magnetic moment 0.00 μB per cell.